Density functional theory data (PBE-GGA) for LiTa2Br after structural relaxation.

- symmetry = P4mm (99)
- M_tot (μB per cell) = 0.00
- relative energy among the computed polymorphs (kJ/mol of formula units) = 16.5
- calculated volume (Å³ per cell) = 87.0
- raw formation energy (meV/atom) = 101

a b c (Å): 3.424 3.424 7.425
angles (deg): 90.00 90.00 90.00
Fractional coordinates of all 4 atoms:
Li 0.500 0.500 0.737
Ta 0.500 0.500 0.156
Ta 0.000 0.000 0.989
Br 0.000 0.000 0.617

***

Density functional theory data (PBE-GGA) for TaCd2Br after structural relaxation.

- symmetry = P2/m (10)
- M_tot (μB per cell) = 0.00
- relative energy among the computed polymorphs (kJ/mol of formula units) = 170.3
- calculated volume (Å³ per cell) = 89.4
- raw formation energy (meV/atom) = 453

a b c (Å): 5.718 3.083 5.861
angles (deg): 59.86 90.00 90.00
Fractional coordinates of all 4 atoms:
Cd 0.000 0.291 0.490
Cd 0.000 0.209 0.010
Ta 0.500 0.250 0.250
Br 0.500 0.750 0.750